[1]
Below is a relaxed structure of Pr6As5Se, with properties calculated at the GGA-PBE level.

Lattice parameters (Å, degrees): 7.455 12.905 7.456 90.00 109.44 90.00
Space group C2/m (No. 12)
Inequivalent atoms, fractional coordinates:
Pr1 0.247 0.000 0.253
Pr2 0.247 0.169 0.747
As1 0.000 0.000 0.500
As2 0.000 0.167 0.000
As3 0.000 0.334 0.500
Se1 0.000 0.500 0.000

DOS at the Fermi energy ... 5.31 states/eV/cell
V ... 676.5 Å³/cell
Uncorrected formation energy ... -154.47 kJ per mole of atoms
Total DFT energy (no corrections) ... -149.24 eV/cell


[2]
Below is a relaxed structure of Pr3AsSe6, with properties calculated at the GGA-PBE level.

Lattice parameters (Å, degrees): 11.462 14.221 7.393 90.00 90.00 90.00
Space group Cmc2_1 (No. 36)
Inequivalent atoms, fractional coordinates:
Pr1 0.000 0.101 0.000
Pr2 0.184 0.401 0.080
As1 0.000 0.311 0.641
Se1 0.000 0.279 0.234
Se2 0.000 0.472 0.801
Se3 0.162 0.026 0.291
Se4 0.166 0.239 0.798

V ... 1205.0 Å³/cell
Uncorrected formation energy ... -136.59 kJ per mole of atoms
Total DFT energy (no corrections) ... -216.21 eV/cell


[3]
Below is a relaxed structure of Pr4As3Se, with properties calculated at the GGA-PBE level.

Lattice parameters (Å, degrees): 8.606 12.152 4.300 90.00 90.00 90.00
Space group Cmmm (No. 65)
Inequivalent atoms, fractional coordinates:
Pr1 0.000 0.248 0.000
Pr2 0.244 0.000 0.500
As1 0.000 0.000 0.000
As2 0.250 0.250 0.500
Se1 0.000 0.500 0.000

DOS at the Fermi energy ... 2.86 states/eV/cell
V ... 449.7 Å³/cell
Uncorrected formation energy ... -158.18 kJ per mole of atoms
Total DFT energy (no corrections) ... -99.33 eV/cell